(P)
This record from Alexandria describes Tl2ZnW after structural relaxation. The functional is PBEsol.

Unit cell a=2.923 b=5.034 c=5.341 alpha=90.00 beta=90.00 gamma=90.00
Atoms (fractional coordinates):
Tl  0.000  0.000  0.000
Zn  0.000  0.500  0.500
W  0.500  0.500  0.000
Tl  0.500  0.000  0.500

Calculated values
Fermi-level density of states: 0.390 states/eV/atom

(Q)
This record from Alexandria describes Tl2ZnW after structural relaxation. The functional is PBEsol.

Unit cell a=2.924 b=5.148 c=5.148 alpha=90.00 beta=90.00 gamma=90.00
Atoms (fractional coordinates):
W  0.500  0.500  0.500
Zn  0.500  0.000  0.000
Tl  0.000  0.000  0.500
Tl  0.000  0.500  0.000

Calculated values
Fermi-level density of states: 0.475 states/eV/atom

(R)
This record from Alexandria describes Tl2ZnW after structural relaxation. The functional is PBEsol.

Unit cell a=4.859 b=4.859 c=4.859 alpha=60.00 beta=60.00 gamma=60.00
Each line ends with the local moment (μB).
Atoms (fractional coordinates):
Tl  0.000  0.000  0.000  0.01
Zn  0.250  0.250  0.250  0.00
Tl  0.750  0.750  0.750  0.01
W  0.500  0.500  0.500  1.49

Calculated values
Fermi-level density of states: 0.903 states/eV/atom

What is the stability order? It is (Q), (P), (R), from most stable to least stable.

(P)
This record from Alexandria describes ZrTl2W after structural relaxation. The functional is PBEsol.

Unit cell a=4.235 b=4.235 c=4.463 alpha=90.00 beta=90.00 gamma=90.00
Atoms (fractional coordinates):
Tl  0.000  0.500  0.000
Zr  0.000  0.000  0.500
W  0.500  0.500  0.500
Tl  0.500  0.000  0.000

Calculated values
Fermi-level density of states: 0.752 states/eV/atom

(Q)
This record from Alexandria describes ZrTl2W after structural relaxation. The functional is PBEsol.

Unit cell a=3.695 b=4.731 c=5.516 alpha=115.39 beta=109.56 gamma=90.00
Atoms (fractional coordinates):
Tl  0.757  0.757  0.513
Zr  0.000  0.500  0.000
Tl  0.243  0.243  0.487
W  0.500  0.000  0.000

Calculated values
Fermi-level density of states: 0.521 states/eV/atom

What is the stability order? It is (Q), (P), from most stable to least stable.